No. 1
This record from the Open Quantum Materials Database describes a relaxed structure of ZnPb6I2. The functional is GGA-PBE.

```
ZnPb6I2
1.0
9.225 0.000 0.000
-4.613 7.989 0.000
0.000 0.000 4.313
Zn Pb I
1 6 2
direct
0.000 0.000 0.000
0.000 0.223 0.500
0.000 0.667 0.000
0.223 0.000 0.500
0.333 0.333 0.000
0.667 0.000 0.000
0.777 0.777 0.500
0.333 0.667 0.500
0.667 0.333 0.500
```

---

No. 2
This record from the Open Quantum Materials Database describes a relaxed structure of PdI2. The functional is GGA-PBE.

```
PdI2
1.0
2.032 1.173 6.134
-2.032 1.173 6.134
0.000 -2.346 6.134
Pd I
1 2
direct
0.000 0.000 0.000
0.248 0.248 0.248
0.752 0.752 0.752
```

---

No. 3
This record from the Open Quantum Materials Database describes a relaxed structure of Pd3I2. The functional is GGA-PBE.

```
Pd3I2
1.0
3.367 1.944 6.033
-3.367 1.944 6.033
0.000 -3.888 6.033
Pd I
6 4
direct
0.020 0.250 0.480
0.250 0.480 0.020
0.480 0.020 0.250
0.520 0.980 0.750
0.750 0.520 0.980
0.980 0.750 0.520
0.114 0.114 0.114
0.386 0.386 0.386
0.614 0.614 0.614
0.886 0.886 0.886
```

---

No. 4
This record from the Open Quantum Materials Database describes a relaxed structure of PdI2. The functional is GGA-PBE.

```
PdI2
1.0
4.358 0.000 0.000
0.000 3.880 0.000
-0.819 0.000 12.481
Pd I
2 4
direct
0.000 0.000 0.000
0.500 0.500 0.500
0.088 0.500 0.140
0.372 0.000 0.632
0.628 0.000 0.368
0.912 0.500 0.860
```

---

No. 5
This record from the Open Quantum Materials Database describes a relaxed structure of PdI3. The functional is GGA-PBE.

```
PdI3
1.0
6.523 0.000 0.000
0.000 12.321 0.000
0.000 0.000 7.113
Pd I
4 12
direct
0.001 0.250 0.250
0.499 0.250 0.250
0.501 0.750 0.750
0.999 0.750 0.750
0.250 0.093 0.093
0.250 0.250 0.565
0.250 0.407 0.093
0.250 0.593 0.593
0.250 0.750 0.063
0.250 0.907 0.593
0.750 0.093 0.407
0.750 0.250 0.937
0.750 0.407 0.407
0.750 0.593 0.907
0.750 0.750 0.435
0.750 0.907 0.907
```

---

No. 6
This record from the Open Quantum Materials Database describes a relaxed structure of PdI2. The functional is GGA-PBE.

```
PdI2
1.0
3.853 0.000 0.000
0.000 7.228 0.000
0.000 0.000 14.120
Pd I
4 8
direct
0.000 0.056 0.000
0.000 0.442 0.491
0.500 0.558 0.991
0.500 0.944 0.500
0.000 0.522 0.117
0.000 0.603 0.866
0.000 0.897 0.375
0.000 0.979 0.626
0.500 0.021 0.126
0.500 0.103 0.875
0.500 0.397 0.366
0.500 0.478 0.617
```

---

No. 7
This record from the Open Quantum Materials Database describes a relaxed structure of PdI. The functional is GGA-PBE.

```
PdI
1.0
0.000 2.867 2.867
2.867 0.000 2.867
2.867 2.867 0.000
Pd I
1 1
direct
0.000 0.000 0.000
0.500 0.500 0.500
```

---

No. 8
This record from the Open Quantum Materials Database describes a relaxed structure of PdI2. The functional is GGA-PBE.

```
PdI2
1.0
0.000 4.655 4.655
4.655 0.000 4.655
4.655 4.655 0.000
Pd I
2 4
direct
0.125 0.125 0.125
0.875 0.875 0.875
0.000 0.500 0.500
0.500 0.000 0.500
0.500 0.500 0.000
0.500 0.500 0.500
```

---

No. 9
This record from the Open Quantum Materials Database describes a relaxed structure of Pd2I. The functional is GGA-PBE.

```
Pd2I
1.0
0.000 3.909 3.909
3.909 0.000 3.909
3.909 3.909 0.000
Pd I
4 2
direct
0.000 0.000 0.000
0.000 0.000 0.500
0.000 0.500 0.000
0.500 0.000 0.000
0.375 0.375 0.375
0.625 0.625 0.625
```

---

No. 10
This record from the Open Quantum Materials Database describes a relaxed structure of PdI2. The functional is GGA-PBE.

```
PdI2
1.0
4.069 0.000 0.000
-2.035 3.524 0.000
0.000 0.000 6.132
Pd I
1 2
direct
0.000 0.000 0.000
0.333 0.667 0.255
0.667 0.333 0.745
```

---

No. 11
This record from the Open Quantum Materials Database describes a relaxed structure of PdI. The functional is GGA-PBE.

```
PdI
1.0
3.835 0.000 0.000
-1.917 3.321 0.000
0.000 0.000 3.752
Pd I
1 1
direct
0.000 0.000 0.000
0.333 0.667 0.500
```

---

No. 12
This record from the Open Quantum Materials Database describes a relaxed structure of PdI. The functional is GGA-PBE.

```
PdI
1.0
0.000 3.080 3.080
3.080 0.000 3.080
3.080 3.080 0.000
Pd I
1 1
direct
0.000 0.000 0.000
0.250 0.250 0.250
```

---

No. 13
This record from the Open Quantum Materials Database describes a relaxed structure of PdI. The functional is GGA-PBE.

```
PdI
1.0
1.963 1.133 3.479
-1.963 1.133 3.479
0.000 -2.266 3.479
Pd I
1 1
direct
0.000 0.000 0.000
0.500 0.500 0.500
```

---

No. 14
This record from the Open Quantum Materials Database describes a relaxed structure of Rb2PdI6. The functional is GGA-PBE.

```
Rb2PdI6
1.0
8.133 0.000 0.000
0.000 12.555 0.000
0.000 0.000 14.606
Rb Pd I
8 4 24
direct
0.212 0.014 0.139
0.212 0.486 0.139
0.288 0.514 0.639
0.288 0.986 0.639
0.712 0.014 0.361
0.712 0.486 0.361
0.788 0.514 0.861
0.788 0.986 0.861
0.235 0.250 0.401
0.265 0.750 0.901
0.735 0.250 0.099
0.765 0.750 0.599
0.007 0.250 0.784
0.020 0.250 0.004
0.025 0.750 0.709
0.045 0.250 0.586
0.234 0.037 0.395
0.234 0.463 0.395
0.266 0.537 0.895
0.266 0.963 0.895
0.455 0.750 0.086
0.475 0.250 0.209
0.480 0.750 0.504
0.493 0.750 0.284
0.507 0.250 0.716
0.520 0.250 0.496
0.525 0.750 0.791
0.545 0.250 0.914
0.734 0.037 0.105
0.734 0.463 0.105
0.766 0.537 0.605
0.766 0.963 0.605
0.955 0.750 0.414
0.975 0.250 0.291
0.980 0.750 0.996
0.993 0.750 0.216
```

---

No. 15
This record from the Open Quantum Materials Database describes a relaxed structure of Rb2PdI6. The functional is GGA-PBE.

```
Rb2PdI6
1.0
-3.980 3.980 5.775
3.980 -3.980 5.775
3.980 3.980 -5.775
Rb Pd I
2 1 6
direct
0.250 0.750 0.500
0.750 0.250 0.500
0.000 0.000 0.000
0.220 0.738 0.958
0.236 0.236 0.000
0.262 0.220 0.482
0.738 0.780 0.518
0.764 0.764 0.000
0.780 0.262 0.042
```

---

No. 16
This record from the Open Quantum Materials Database describes a relaxed structure of Sb6PdS8I4. The functional is GGA-PBE.

```
Sb6PdS8I4
1.0
7.437 0.000 0.000
-2.866 8.399 0.000
-0.564 -0.422 9.585
Sb Pd S I
6 1 8 4
direct
0.222 0.414 0.401
0.230 0.123 0.128
0.231 0.820 0.792
0.769 0.180 0.208
0.770 0.877 0.872
0.778 0.586 0.599
0.000 0.000 0.500
0.080 0.371 0.144
0.103 0.051 0.838
0.109 0.779 0.532
0.287 0.154 0.410
0.713 0.846 0.590
0.891 0.221 0.468
0.897 0.949 0.162
0.920 0.629 0.856
0.341 0.827 0.146
0.384 0.490 0.744
0.616 0.510 0.256
0.659 0.173 0.854
```

---

No. 17
This record from the Open Quantum Materials Database describes a relaxed structure of PdSe2S4I2. The functional is GGA-PBE.

```
PdSe2S4I2
1.0
4.807 0.000 0.000
-0.747 7.618 0.000
-0.413 -3.860 7.450
Pd Se S I
1 2 4 2
direct
0.000 0.000 0.000
0.174 0.990 0.729
0.826 0.010 0.271
0.040 0.754 0.277
0.110 0.266 0.510
0.890 0.734 0.490
0.960 0.246 0.723
0.402 0.306 0.149
0.598 0.694 0.851
```

---

No. 18
This record from the Open Quantum Materials Database describes a relaxed structure of PdSeI3. The functional is GGA-PBE.

```
PdSeI3
1.0
3.866 0.000 0.000
0.000 18.203 0.000
-0.358 0.000 6.265
Pd Se I
2 2 6
direct
0.000 0.000 0.000
0.000 0.500 0.000
0.071 0.250 0.773
0.929 0.750 0.227
0.001 0.250 0.379
0.487 0.091 0.897
0.487 0.409 0.897
0.513 0.591 0.103
0.513 0.909 0.103
0.999 0.750 0.621
```

---

No. 19
This record from the Open Quantum Materials Database describes a relaxed structure of SiPd3I. The functional is GGA-PBE.

```
SiPd3I
1.0
4.957 0.000 0.000
0.000 4.957 0.000
0.000 0.000 4.957
Si Pd I
1 3 1
direct
0.000 0.000 0.000
0.000 0.500 0.500
0.500 0.000 0.500
0.500 0.500 0.000
0.500 0.500 0.500
```

---

No. 20
This record from the Open Quantum Materials Database describes a relaxed structure of Sn2PdI6. The functional is GGA-PBE.

```
Sn2PdI6
1.0
10.221 0.000 0.000
0.000 7.216 0.000
-0.009 0.000 8.981
Sn Pd I
4 2 12
direct
0.222 0.026 0.405
0.222 0.474 0.905
0.778 0.526 0.095
0.778 0.974 0.595
0.500 0.000 0.000
0.500 0.500 0.500
0.055 0.149 0.670
0.055 0.351 0.170
0.258 0.627 0.535
0.258 0.873 0.035
0.438 0.196 0.652
0.438 0.304 0.152
0.562 0.696 0.848
0.562 0.804 0.348
0.742 0.127 0.965
0.742 0.373 0.465
0.945 0.649 0.830
0.945 0.851 0.330
```

---

No. 21
This record from the Open Quantum Materials Database describes a relaxed structure of Pm2I. The functional is GGA-PBE.

```
Pm2I
1.0
0.000 4.697 4.697
4.697 0.000 4.697
4.697 4.697 0.000
Pm I
4 2
direct
0.000 0.000 0.000
0.000 0.000 0.500
0.000 0.500 0.000
0.500 0.000 0.000
0.375 0.375 0.375
0.625 0.625 0.625
```

Output
Spin magnetization (μB per formula unit): 0.9

---

No. 22
This record from the Open Quantum Materials Database describes a relaxed structure of PmPrS2I2. The functional is GGA-PBE.

```
PmPrS2I2
1.0
4.819 0.000 0.000
0.000 4.819 0.000
0.000 0.000 7.756
Pm Pr S I
1 1 2 2
direct
0.000 0.000 0.000
0.500 0.500 0.374
0.000 0.500 0.182
0.500 0.000 0.182
0.000 0.000 0.566
0.500 0.500 0.805
```

Output
Spin magnetization (μB per formula unit): 0.0

---

No. 23
This record from the Open Quantum Materials Database describes a relaxed structure of Pm4PtI5. The functional is GGA-PBE.

```
Pm4PtI5
1.0
9.891 -2.120 0.000
9.891 2.120 0.000
-2.023 0.000 8.909
Pm Pt I
4 1 5
direct
0.001 0.001 0.208
0.353 0.353 0.924
0.647 0.647 0.076
0.999 0.999 0.792
0.500 0.500 0.000
0.168 0.168 0.344
0.175 0.175 0.828
0.500 0.500 0.500
0.825 0.825 0.172
0.832 0.832 0.656
```

Output
Spin magnetization (μB per formula unit): 0.8

---

For reference, VASP energy by record: -26.918, -8.515, -36.429, -17.690, -40.609, -34.817, -6.743, -9.923, -21.104, -8.499, -6.314, -6.673, -6.724, -92.523, -23.035, -74.703, -32.144, -26.111, -18.095, -51.342, -21.514, -31.257, -45.356 eV for the cell shown.